[1]
A plane-wave DFT calculation with PBE was carried out for BeRh after structural relaxation.

Cell lengths 3.828, 3.828, 3.828 Å; angles 42.19, 42.19, 42.19 degrees
Positions (direct):
Be1 0.000 0.000 0.000
Rh1 0.500 0.500 0.500

Summary:
M_tot: 0.056 μB per atom

[2]
A plane-wave DFT calculation with PBE was carried out for BeRh after structural relaxation.

Cell lengths 3.758, 3.758, 4.445 Å; angles 90.00, 90.00, 120.00 degrees
Positions (direct):
Be1 0.333 0.667 0.250
Be2 0.667 0.333 0.750
Rh1 0.333 0.667 0.750
Rh2 0.667 0.333 0.250

Summary:
M_tot: 0.000 μB per atom

[3]
A plane-wave DFT calculation with PBE was carried out for BeRh after structural relaxation.

Cell lengths 4.697, 4.697, 5.668 Å; angles 111.00, 111.00, 35.10 degrees
Positions (direct):
Be1 0.000 0.000 0.000
Be2 0.346 0.346 0.152
Be3 0.654 0.654 0.848
Rh1 0.000 0.000 0.500
Rh2 0.328 0.328 0.724
Rh3 0.672 0.672 0.276

Summary:
M_tot: 0.000 μB per atom

[4]
A plane-wave DFT calculation with PBE was carried out for BeRh after structural relaxation.

Cell lengths 5.154, 5.154, 5.154 Å; angles 100.38, 100.38, 129.76 degrees
Positions (direct):
Be1 0.084 0.232 0.316
Be2 0.232 0.916 0.148
Be3 0.768 0.084 0.852
Be4 0.916 0.768 0.684
Rh1 0.199 0.582 0.780
Rh2 0.418 0.199 0.617
Rh3 0.582 0.801 0.383
Rh4 0.801 0.418 0.220

Summary:
M_tot: 0.000 μB per atom

[5]
A plane-wave DFT calculation with PBE was carried out for BeRh after structural relaxation.

Cell lengths 3.450, 3.450, 3.450 Å; angles 60.00, 60.00, 60.00 degrees
Positions (direct):
Be1 0.000 0.000 0.000
Rh1 0.750 0.750 0.750

Summary:
M_tot: 0.000 μB per atom

[6]
A plane-wave DFT calculation with PBE was carried out for BeRh after structural relaxation.

Cell lengths 2.892, 4.429, 3.574 Å; angles 90.00, 90.00, 90.00 degrees
Positions (direct):
Be1 0.250 0.250 0.054
Be2 0.750 0.750 0.946
Rh1 0.250 0.750 0.443
Rh2 0.750 0.250 0.557

Summary:
M_tot: 0.000 μB per atom

no.,VASP energy (eV/atom)
1,-5.903
2,-5.449
3,-5.948
4,-5.688
5,-4.974
6,-5.875